Entry 1:
AgSbTe2F | PBE | optimized geometry

The energy above the lowest structure with this stoichiometry comes out at 317 meV/atom. The density of states at the Fermi level comes out at 1.16 states/eV per atom. For the total magnetization, the calculation gives 0.0 μB per formula unit.

It has space group P4/mmm (No. 123), with a = 5.355 Å, b = 5.355 Å, c = 5.424 Å, α = 90.00°, β = 90.00° and γ = 90.00°. Symmetry generates all atoms from Ag at (0.000, 0.000, 0.000), Sb at (0.000, 0.000, 0.500), Te at (0.000, 0.500, 0.000) and F at (0.500, 0.500, 0.500).

=====

Entry 2:
Ti2AgSbF | PBE | optimized geometry

The density of states at the Fermi level comes out at 1.15 states/eV per atom. For the total magnetization, the calculation gives 4.9 μB per formula unit.

It has space group P4/mmm (No. 123), with a = 5.337 Å, b = 5.337 Å, c = 5.139 Å, α = 90.00°, β = 90.00° and γ = 90.00°. Symmetry generates all atoms from Ti at (0.000, 0.500, 0.000), Ag at (0.000, 0.000, 0.500), Sb at (0.000, 0.000, 0.000) and F at (0.500, 0.500, 0.500).

=====

Entry 3:
Tl2AgSbF6 | PBE | optimized geometry

The density of states at the Fermi level comes out at 0.00 states/eV per atom. For the total magnetization, the calculation gives 0.0 μB per formula unit.

It has space group P1 (No. 1), with a = 6.207 Å, b = 6.272 Å, c = 6.342 Å, α = 65.15°, β = 63.55° and γ = 64.89°. Symmetry generates all atoms from Tl at (0.000, 0.000, 0.000), Tl at (0.490, 0.478, 0.480), Ag at (0.247, 0.242, 0.234), Sb at (0.750, 0.738, 0.740), F at (0.069, 0.897, 0.421), F at (0.446, 0.061, 0.886), F at (0.459, 0.573, 0.925), F at (0.578, 0.909, 0.471), F at (0.894, 0.425, 0.069) and F at (0.927, 0.454, 0.571).

=====

Listing formation energy from raw total energies for the structures above in their given order: 0.3731, 0.4564, -1.8621 eV/atom.